(1)
DFT (meta-GGA SCAN) results for a crystal of ZrBe3 relaxed with PBEsol.

Unit cell a=2.4657 b=3.5512 c=5.5022 alpha=90.00 beta=102.49 gamma=90.00
Last column: nearest neighbours and their distance in Å.
Sites, in units of the cell vectors:
1 Zr 0.0000 0.0000 0.0000  2 Zr 2.47, 6 Be 2.70-2.76
2 Be 0.2898 0.5000 0.6797  3 Be 2.15-2.17
3 Be 0.5000 0.0000 0.5000  4 Be 2.15
4 Be 0.7102 0.5000 0.3203  3 Be 2.15-2.17

Output
- electronic total energy (eV per atom) = -10.8231
- ΔH_f (0 K) (kJ per mole of atoms) = 11.3
- symmetry = P2/m (10)
- energy relative to the lowest polymorph listed for this composition (meV per atom) = 299


(2)
DFT (meta-GGA SCAN) results for a crystal of Mg2TeP relaxed with PBEsol.

Unit cell a=6.9332 b=6.9332 c=6.9332 alpha=90.00 beta=90.00 gamma=90.00
Last column: nearest neighbours and their distance in Å.
Sites, in units of the cell vectors:
1 Mg 0.2500 0.2500 0.2500  4 Te 3.00, 4 P 3.00
2 Mg 0.2500 0.2500 0.7500  4 Te 3.00, 4 P 3.00
3 Mg 0.2500 0.7500 0.2500  4 Te 3.00, 4 P 3.00
4 Mg 0.2500 0.7500 0.7500  4 Te 3.00, 4 P 3.00
5 Mg 0.7500 0.2500 0.2500  4 Te 3.00, 4 P 3.00
6 Mg 0.7500 0.2500 0.7500  4 Te 3.00, 4 P 3.00
7 Mg 0.7500 0.7500 0.2500  4 Te 3.00, 4 P 3.00
8 Mg 0.7500 0.7500 0.7500  4 P 3.00, 4 Te 3.00
9 Te 0.0000 0.0000 0.0000  8 Mg 3.00
10 Te 0.0000 0.5000 0.5000  8 Mg 3.00
11 Te 0.5000 0.0000 0.5000  8 Mg 3.00
12 Te 0.5000 0.5000 0.0000  8 Mg 3.00
13 P 0.0000 0.0000 0.5000  8 Mg 3.00
14 P 0.0000 0.5000 0.0000  8 Mg 3.00
15 P 0.5000 0.0000 0.0000  8 Mg 3.00
16 P 0.5000 0.5000 0.5000  8 Mg 3.00

Output
- formation energy from raw total energies (eV per atom) = -0.13
- electronic total energy (eV per atom) = -14.5313
- symmetry = Fm-3m (225)


(3)
DFT (meta-GGA SCAN) results for a crystal of LiLaW2 relaxed with PBEsol.

Unit cell a=10.3147 b=2.9907 c=4.7218 alpha=90.00 beta=100.49 gamma=90.00
Last column: nearest neighbours and their distance in Å.
Sites, in units of the cell vectors:
1 Li 0.0000 0.0000 0.0000  4 La 2.79, 4 W 2.87, 2 Li 2.99
2 Li 0.5000 0.5000 0.0000  4 La 2.79, 4 W 2.87, 2 Li 2.99
3 La 0.0000 0.5000 0.5000  4 Li 2.79, 2 W 2.93, 2 La 2.99
4 La 0.5000 0.0000 0.5000  4 Li 2.79, 2 W 2.93, 2 La 2.99
5 W 0.2331 0.5000 0.2270  6 W 2.69-2.99, 2 Li 2.87, 1 La 2.93
6 W 0.2669 0.0000 0.7730  6 W 2.69-2.99, 2 Li 2.87, 1 La 2.93
7 W 0.7331 0.0000 0.2270  6 W 2.69-2.99, 2 Li 2.87, 1 La 2.93
8 W 0.7669 0.5000 0.7730  6 W 2.69-2.99, 2 Li 2.87, 1 La 2.93

Output
- electronic total energy (eV per atom) = -45.4546
- ΔH_f (0 K) (kJ per mole of atoms) = 73.6
- symmetry = C2/m (12)


(4)
DFT (meta-GGA SCAN) results for a crystal of LaZnSi relaxed with PBEsol.

Unit cell a=4.1791 b=4.1791 c=4.3164 alpha=90.00 beta=90.00 gamma=120.00
Last column: nearest neighbours and their distance in Å.
Sites, in units of the cell vectors:
1 La 0.0000 0.0000 0.0000  6 Si 3.24, 6 Zn 3.24
2 Zn 0.6667 0.3333 0.5000  3 Si 2.41
3 Si 0.3333 0.6667 0.5000  3 Zn 2.41

Output
- formation energy from raw total energies (eV per atom) = -0.71
- electronic total energy (eV per atom) = -22.9220
- symmetry = P-6m2 (187)


(5)
DFT (meta-GGA SCAN) results for a crystal of TcAg2Hg relaxed with PBEsol.

Unit cell a=2.7775 b=2.7775 c=8.5996 alpha=90.00 beta=90.00 gamma=90.00
Last column: nearest neighbours and their distance in Å.
Sites, in units of the cell vectors:
1 Tc 0.0000 0.0000 0.0000  4 Tc 2.78, 4 Ag 2.82, 4 Hg 2.93
2 Ag 0.0000 0.0000 0.4825  8 Ag 2.78-2.89, 4 Hg 3.01
3 Ag 0.5000 0.5000 0.2359  8 Ag 2.78-2.89, 4 Tc 2.82
4 Hg 0.5000 0.5000 0.7473  4 Hg 2.78, 4 Tc 2.93, 4 Ag 3.01

Output
- electronic total energy (eV per atom) = -41.0507
- ΔH_f (0 K) (kJ per mole of atoms) = 42.4
- symmetry = P4mm (99)


(6)
DFT (meta-GGA SCAN) results for a crystal of Y2CoAu relaxed with PBEsol.

Unit cell a=3.3954 b=3.3954 c=6.9349 alpha=90.00 beta=90.00 gamma=90.00
Last column: nearest neighbours and their distance in Å.
Sites, in units of the cell vectors:
1 Y 0.0000 0.0000 0.2316  4 Co 2.89, 4 Au 3.04, 1 Y 3.21
2 Y 0.0000 0.0000 0.7684  4 Co 2.89, 4 Au 3.04, 1 Y 3.21
3 Co 0.5000 0.5000 0.0000  8 Y 2.89
4 Au 0.5000 0.5000 0.5000  8 Y 3.04, 4 Au 3.40

Output
- electronic total energy (eV per atom) = -36.2000
- ΔH_f (0 K) (kJ per mole of atoms) = -64.0
- symmetry = P4/mmm (123)


(7)
DFT (meta-GGA SCAN) results for a crystal of LiSbMo relaxed with PBEsol.

Unit cell a=3.4041 b=3.4041 c=8.4845 alpha=90.00 beta=90.00 gamma=90.00
Last column: nearest neighbours and their distance in Å.
Sites, in units of the cell vectors:
1 Li 0.0000 0.0000 0.0000  5 Sb 2.78-2.82, 5 Mo 2.79-2.84
2 Li 0.5000 0.5000 0.5000  5 Sb 2.78-2.82, 5 Mo 2.79-2.84
3 Sb 0.0000 0.0000 0.6728  5 Mo 2.77-2.87, 5 Li 2.78-2.82
4 Sb 0.5000 0.5000 0.1728  5 Mo 2.77-2.87, 5 Li 2.78-2.82
5 Mo 0.0000 0.0000 0.3349  5 Sb 2.77-2.87, 5 Li 2.79-2.84
6 Mo 0.5000 0.5000 0.8349  5 Sb 2.77-2.87, 5 Li 2.79-2.84

Output
- formation energy from raw total energies (eV per atom) = 0.19
- electronic total energy (eV per atom) = -24.6598
- symmetry = I4mm (107)
- energy relative to the lowest polymorph listed for this composition (meV per atom) = 0


(8)
DFT (meta-GGA SCAN) results for a crystal of Mg2AlZn relaxed with PBEsol.

Unit cell a=2.9906 b=2.9906 c=8.2281 alpha=90.00 beta=90.00 gamma=90.00
Last column: nearest neighbours and their distance in Å.
Sites, in units of the cell vectors:
1 Mg 0.0000 0.0000 0.0000  8 Mg 2.99-3.22, 4 Al 3.01
2 Mg 0.5000 0.5000 0.2944  4 Zn 2.87, 4 Mg 2.99
3 Al 0.5000 0.5000 0.7401  4 Zn 2.73, 4 Al 2.99, 4 Mg 3.01
4 Zn 0.0000 0.0000 0.5296  4 Al 2.73, 4 Mg 2.87, 4 Zn 2.99

Output
- electronic total energy (eV per atom) = -7.8157
- ΔH_f (0 K) (kJ per mole of atoms) = -1.2
- symmetry = P4mm (99)


(9)
DFT (meta-GGA SCAN) results for a crystal of CaMoPb relaxed with PBEsol.

Unit cell a=6.9886 b=6.9886 c=6.9886 alpha=90.00 beta=90.00 gamma=90.00
Last column: nearest neighbours and their distance in Å.
Sites, in units of the cell vectors:
1 Ca 0.0000 0.0000 0.0000  4 Mo 3.03, 4 Pb 3.03
2 Ca 0.0000 0.5000 0.5000  4 Mo 3.03, 4 Pb 3.03
3 Ca 0.5000 0.0000 0.5000  4 Mo 3.03, 4 Pb 3.03
4 Ca 0.5000 0.5000 0.0000  4 Mo 3.03, 4 Pb 3.03
5 Mo 0.2500 0.2500 0.7500  4 Ca 3.03
6 Mo 0.2500 0.7500 0.2500  4 Ca 3.03
7 Mo 0.7500 0.2500 0.2500  4 Ca 3.03
8 Mo 0.7500 0.7500 0.7500  4 Ca 3.03
9 Pb 0.2500 0.2500 0.2500  4 Ca 3.03
10 Pb 0.2500 0.7500 0.7500  4 Ca 3.03
11 Pb 0.7500 0.2500 0.7500  4 Ca 3.03
12 Pb 0.7500 0.7500 0.2500  4 Ca 3.03

Output
- electronic total energy (eV per atom) = -39.1467
- ΔH_f (0 K) (kJ per mole of atoms) = 92.9
- symmetry = F-43m (216)
- energy relative to the lowest polymorph listed for this composition (meV per atom) = 455


(10)
DFT (meta-GGA SCAN) results for a crystal of Ta2MnH relaxed with PBEsol.

Unit cell a=5.8941 b=5.8941 c=5.8941 alpha=90.00 beta=90.00 gamma=90.00
Last column: nearest neighbours and their distance in Å.
Sites, in units of the cell vectors:
1 Ta 0.2500 0.2500 0.2500  4 H 2.55, 4 Mn 2.55
2 Ta 0.2500 0.2500 0.7500  4 H 2.55, 4 Mn 2.55
3 Ta 0.2500 0.7500 0.2500  4 H 2.55, 4 Mn 2.55
4 Ta 0.2500 0.7500 0.7500  4 H 2.55, 4 Mn 2.55
5 Ta 0.7500 0.2500 0.2500  4 H 2.55, 4 Mn 2.55
6 Ta 0.7500 0.2500 0.7500  4 H 2.55, 4 Mn 2.55
7 Ta 0.7500 0.7500 0.2500  4 H 2.55, 4 Mn 2.55
8 Ta 0.7500 0.7500 0.7500  4 Mn 2.55, 4 H 2.55
9 Mn 0.0000 0.0000 0.0000  8 Ta 2.55
10 Mn 0.0000 0.5000 0.5000  8 Ta 2.55
11 Mn 0.5000 0.0000 0.5000  8 Ta 2.55
12 Mn 0.5000 0.5000 0.0000  8 Ta 2.55
13 H 0.0000 0.0000 0.5000  8 Ta 2.55
14 H 0.0000 0.5000 0.0000  8 Ta 2.55
15 H 0.5000 0.0000 0.0000  8 Ta 2.55
16 H 0.5000 0.5000 0.5000  8 Ta 2.55

Output
- electronic total energy (eV per atom) = -38.2986
- symmetry = Fm-3m (225)


(11)
DFT (meta-GGA SCAN) results for a crystal of Li2ZnNi relaxed with PBEsol.

Unit cell a=2.5630 b=4.3279 c=4.4448 alpha=90.00 beta=95.29 gamma=90.00
Last column: nearest neighbours and their distance in Å.
Sites, in units of the cell vectors:
1 Li 0.2354 0.0000 0.2622  5 Li 2.40-2.56, 2 Ni 2.51, 2 Zn 2.58
2 Li 0.7646 0.0000 0.7378  5 Li 2.40-2.56, 2 Ni 2.51, 2 Zn 2.58
3 Zn 0.5000 0.5000 0.0000  4 Ni 2.46-2.67, 2 Zn 2.56, 4 Li 2.58
4 Ni 0.0000 0.5000 0.5000  4 Zn 2.46-2.67, 4 Li 2.51, 2 Ni 2.56

Output
- electronic total energy (eV per atom) = -8.7060
- ΔH_f (0 K) (kJ per mole of atoms) = -8.6
- symmetry = P2/m (10)


(12)
DFT (meta-GGA SCAN) results for a crystal of BaCr2Sn2 relaxed with PBEsol.

Unit cell a=4.9033 b=4.9033 c=9.4942 alpha=90.00 beta=90.00 gamma=90.00
Last column: nearest neighbours and their distance in Å.
Sites, in units of the cell vectors:
1 Ba 0.0000 0.0000 0.0000  8 Sn 3.41, 8 Cr 3.58
2 Ba 0.5000 0.5000 0.5000  8 Sn 3.41, 8 Cr 3.58
3 Cr 0.0000 0.0000 0.4052  1 Cr 1.80
4 Cr 0.0000 0.0000 0.5948  1 Cr 1.80
5 Cr 0.5000 0.5000 0.0948  1 Cr 1.80
6 Cr 0.5000 0.5000 0.9052  1 Cr 1.80
7 Sn 0.0000 0.5000 0.2500  4 Cr 2.86
8 Sn 0.0000 0.5000 0.7500  4 Cr 2.86
9 Sn 0.5000 0.0000 0.2500  4 Cr 2.86
10 Sn 0.5000 0.0000 0.7500  4 Cr 2.86

Output
- electronic total energy (eV per atom) = -29.4063
- ΔH_f (0 K) (kJ per mole of atoms) = 21.8
- symmetry = I4/mmm (139)


(13)
DFT (meta-GGA SCAN) results for a crystal of K2TiB2 relaxed with PBEsol.

Unit cell a=3.6305 b=3.6305 c=12.9018 alpha=90.00 beta=90.00 gamma=90.00
Last column: nearest neighbours and their distance in Å.
Sites, in units of the cell vectors:
1 K 0.0000 0.5000 0.2500  4 K 2.57
2 K 0.0000 0.5000 0.7500  4 K 2.57
3 K 0.5000 0.0000 0.2500  4 K 2.57
4 K 0.5000 0.0000 0.7500  4 K 2.57
5 Ti 0.0000 0.0000 0.0000  8 B 2.69
6 Ti 0.5000 0.5000 0.5000  8 B 2.69
7 B 0.0000 0.0000 0.4387  1 B 1.58
8 B 0.0000 0.0000 0.5613  1 B 1.58
9 B 0.5000 0.5000 0.0613  1 B 1.58
10 B 0.5000 0.5000 0.9387  1 B 1.58

Output
- electronic total energy (eV per atom) = -8.4757
- ΔH_f (0 K) (kJ per mole of atoms) = 99.7
- symmetry = I4/mmm (139)


(14)
DFT (meta-GGA SCAN) results for a crystal of TcSb2Pb relaxed with PBEsol.

Unit cell a=3.2198 b=3.9365 c=15.5512 alpha=90.00 beta=90.00 gamma=90.00
Last column: nearest neighbours and their distance in Å.
Sites, in units of the cell vectors:
1 Tc 0.0000 0.0000 0.0000  6 Sb 2.65-2.70
2 Tc 0.5000 0.5000 0.5000  6 Sb 2.65-2.70
3 Sb 0.0000 0.0000 0.5579  4 Tc 2.70
4 Sb 0.0000 0.5000 0.3650  2 Tc 2.65
5 Sb 0.5000 0.0000 0.8650  2 Tc 2.65
6 Sb 0.5000 0.5000 0.0579  4 Tc 2.70
7 Pb 0.0000 0.5000 0.7160  6 Sb 3.15-3.44, 2 Pb 3.22
8 Pb 0.5000 0.0000 0.2160  6 Sb 3.15-3.44, 2 Pb 3.22

Output
- formation energy from raw total energies (eV per atom) = 0.20
- electronic total energy (eV per atom) = -46.1454
- symmetry = Imm2 (44)


(15)
DFT (meta-GGA SCAN) results for a crystal of CsGeOs3 relaxed with PBEsol.

Unit cell a=4.8864 b=4.8864 c=4.8864 alpha=90.00 beta=90.00 gamma=90.00
Last column: nearest neighbours and their distance in Å.
Sites, in units of the cell vectors:
1 Cs 0.0000 0.0000 0.0000  6 Os 2.44
2 Ge 0.5000 0.5000 0.5000  12 Os 3.46
3 Os 0.0000 0.0000 0.5000  2 Cs 2.44
4 Os 0.0000 0.5000 0.0000  2 Cs 2.44
5 Os 0.5000 0.0000 0.0000  2 Cs 2.44

Output
- electronic total energy (eV per atom) = -50.2656
- ΔH_f (0 K) (kJ per mole of atoms) = 409.3
- symmetry = Pm-3m (221)
- energy relative to the lowest polymorph listed for this composition (meV per atom) = 2158


(16)
DFT (meta-GGA SCAN) results for a crystal of Ca2Mg2Zn relaxed with PBEsol.

Unit cell a=4.8741 b=4.8741 c=7.4242 alpha=90.00 beta=90.00 gamma=120.00
Last column: nearest neighbours and their distance in Å.
Sites, in units of the cell vectors:
1 Ca 0.3333 0.6667 0.1513  3 Zn 3.03, 3 Mg 3.32
2 Ca 0.6667 0.3333 0.8487  3 Zn 3.03, 3 Mg 3.32
3 Mg 0.3333 0.6667 0.6122  3 Mg 3.27, 4 Ca 3.32-3.42
4 Mg 0.6667 0.3333 0.3878  3 Mg 3.27, 4 Ca 3.32-3.42
5 Zn 0.0000 0.0000 0.0000  6 Ca 3.03

Output
- electronic total energy (eV per atom) = -8.4007
- ΔH_f (0 K) (kJ per mole of atoms) = 15.2
- symmetry = P-3m1 (164)
- energy relative to the lowest polymorph listed for this composition (meV per atom) = 295


(17)
DFT (meta-GGA SCAN) results for a crystal of TaTl relaxed with PBEsol.

Unit cell a=3.3449 b=4.9369 c=4.8338 alpha=90.00 beta=90.00 gamma=90.00
Last column: nearest neighbours and their distance in Å.
Sites, in units of the cell vectors:
1 Ta 0.0000 0.0000 0.0000  4 Tl 2.94, 4 Ta 2.98
2 Ta 0.5000 0.5000 0.0000  4 Tl 2.94, 4 Ta 2.98
3 Tl 0.0000 0.5000 0.5000  4 Ta 2.94, 4 Tl 2.98
4 Tl 0.5000 0.0000 0.5000  4 Ta 2.94, 4 Tl 2.98

Output
- electronic total energy (eV per atom) = -68.9096
- ΔH_f (0 K) (kJ per mole of atoms) = 54.2
- symmetry = Cmmm (65)
- energy relative to the lowest polymorph listed for this composition (meV per atom) = 19


(18)
DFT (meta-GGA SCAN) results for a crystal of KZrAg2 relaxed with PBEsol.

Unit cell a=4.2401 b=4.2401 c=9.7994 alpha=90.00 beta=90.00 gamma=90.00
Last column: nearest neighbours and their distance in Å.
Sites, in units of the cell vectors:
1 K 0.0000 0.0000 0.0000  8 Ag 3.00-3.24, 4 Zr 3.24
2 K 0.5000 0.5000 0.5000  8 Ag 3.00-3.24, 4 Zr 3.24
3 Zr 0.0000 0.5000 0.2500  8 Ag 3.00-3.24, 4 K 3.24
4 Zr 0.5000 0.0000 0.7500  8 Ag 3.00-3.24, 4 K 3.24
5 Ag 0.0000 0.0000 0.5000  4 K 3.00, 4 Zr 3.24, 4 Ag 3.24
6 Ag 0.0000 0.5000 0.7500  4 Zr 3.00, 4 K 3.24, 4 Ag 3.24
7 Ag 0.5000 0.0000 0.2500  4 Zr 3.00, 4 K 3.24, 4 Ag 3.24
8 Ag 0.5000 0.5000 0.0000  4 K 3.00, 4 Zr 3.24, 4 Ag 3.24

Output
- electronic total energy (eV per atom) = -24.8589
- ΔH_f (0 K) (kJ per mole of atoms) = 56.1
- symmetry = I-4m2 (119)
- energy relative to the lowest polymorph listed for this composition (meV per atom) = 492


(19)
DFT (meta-GGA SCAN) results for a crystal of CuPBr2 relaxed with PBEsol.

Unit cell a=3.1869 b=3.3414 c=8.1047 alpha=90.00 beta=90.00 gamma=90.00
Last column: nearest neighbours and their distance in Å.
Sites, in units of the cell vectors:
1 Cu 0.0000 0.0000 0.0000  1 Br 2.34, 4 P 2.41
2 P 0.5000 0.5000 0.0853  1 Br 2.18, 4 Cu 2.41
3 Br 0.0000 0.0000 0.7112  1 Cu 2.34
4 Br 0.5000 0.5000 0.3548  1 P 2.18

Output
- formation energy from raw total energies (eV per atom) = -0.03
- electronic total energy (eV per atom) = -16.1632
- symmetry = Pmm2 (25)


(20)
DFT (meta-GGA SCAN) results for a crystal of ZnCr3Hg relaxed with PBEsol.

Unit cell a=5.0244 b=5.0244 c=5.0244 alpha=90.00 beta=90.00 gamma=90.00
Last column: nearest neighbours and their distance in Å.
Sites, in units of the cell vectors:
1 Zn 0.0000 0.0000 0.0000  12 Cr 3.55
2 Cr 0.0000 0.5000 0.5000  2 Hg 2.51
3 Cr 0.5000 0.0000 0.5000  2 Hg 2.51
4 Cr 0.5000 0.5000 0.0000  2 Hg 2.51
5 Hg 0.5000 0.5000 0.5000  6 Cr 2.51

Output
- electronic total energy (eV per atom) = -26.1627
- ΔH_f (0 K) (kJ per mole of atoms) = 116.2
- symmetry = Pm-3m (221)